Material: ErZnIrPt
Method: DFT, GGA-PBE
State: optimized geometry

Cell and atoms, written as extended XYZ:
```
16
Lattice="6.509 0.000 0.000 0.000 6.509 0.000 0.000 0.000 6.509" Properties=species:S:1:pos:R:3 pbc="T T T"
Er 0.000 0.000 0.000
Er 0.000 3.255 3.255
Er 3.255 0.000 3.255
Er 3.255 3.255 0.000
Zn 0.000 0.000 3.255
Zn 0.000 3.255 0.000
Zn 3.255 0.000 0.000
Zn 3.255 3.255 3.255
Ir 1.627 1.627 4.882
Ir 1.627 4.882 1.627
Ir 4.882 1.627 1.627
Ir 4.882 4.882 4.882
Pt 1.627 1.627 1.627
Pt 1.627 4.882 4.882
Pt 4.882 1.627 4.882
Pt 4.882 4.882 1.627
```

Results
Density   14.93 g/cm3
VASP energy   -93.6 eV for the cell shown
ΔE_f   -2.7 eV/f.u.